1.
Here is MgTl2AgF6 after structural relaxation from OQMD via LeMat-Bulk. Energies are from PBE.

Geometry as extended XYZ:
```
10
Lattice="4.819 -3.007 0.000 4.819 3.007 0.000 -0.478 0.000 4.845" Properties=species:S:1:pos:R:3 pbc="T T T"
Mg 0.000 0.000 0.000
Tl 1.795 0.000 3.368
Tl 7.366 0.000 1.477
Ag 4.580 0.000 2.423
F 3.678 1.695 3.651
F 5.483 1.695 1.194
F 3.005 0.000 1.082
F 6.156 0.000 3.763
F 3.678 -1.695 3.651
F 5.483 -1.695 1.194
```

## Properties
volume: 14.04 Å³/atom
total DFT energy (no corrections): -38.48 eV per cell

=====

2.
Here is Ag4NF after structural relaxation from OQMD via LeMat-Bulk. Energies are from PBE.

Geometry as extended XYZ:
```
12
Lattice="5.640 0.000 0.000 -2.820 4.884 0.000 0.000 0.000 8.268" Properties=species:S:1:pos:R:3 pbc="T T T"
Ag 0.000 1.591 0.000
Ag -1.442 4.089 0.000
Ag 1.378 0.796 4.134
Ag 0.000 3.256 2.268
Ag 2.820 1.628 6.402
Ag 1.442 4.089 0.000
Ag 4.262 0.796 4.134
Ag 2.820 3.293 4.134
N 0.000 3.256 6.971
N 2.820 1.628 2.837
F 0.000 3.256 4.456
F 2.820 1.628 0.322
```

## Properties
volume: 18.98 Å³/atom
total DFT energy (no corrections): -35.52 eV per cell

=====

3.
Here is NaAg2F after structural relaxation from OQMD via LeMat-Bulk. Energies are from PBE.

Geometry as extended XYZ:
```
4
Lattice="2.320 1.340 5.684 -2.320 1.340 5.684 0.000 -2.679 5.684" Properties=species:S:1:pos:R:3 pbc="T T T"
Na 0.000 0.000 0.000
Ag 0.000 0.000 6.359
Ag 0.000 0.000 10.694
F 0.000 0.000 8.527
```

## Properties
volume: 26.50 Å³/atom
total DFT energy (no corrections): -10.20 eV per cell

=====

4.
Here is Na2AgF4 after structural relaxation from OQMD via LeMat-Bulk. Energies are from PBE.

Geometry as extended XYZ:
```
14
Lattice="3.237 0.000 0.000 0.000 10.072 0.000 -2.306 0.000 5.470" Properties=species:S:1:pos:R:3 pbc="T T T"
Na -0.302 1.518 2.540
Na -1.455 3.518 5.275
Na 2.386 6.553 0.195
Na 1.233 8.554 2.930
Ag 1.619 0.000 0.000
Ag 0.466 5.036 2.735
F -1.553 5.671 4.350
F -0.400 9.436 1.615
F 0.770 6.828 1.695
F -0.383 8.280 4.430
F 1.315 1.792 1.040
F 0.161 3.244 3.775
F 1.332 0.635 3.855
F 2.485 4.400 1.120
```

## Properties
volume: 12.74 Å³/atom
total DFT energy (no corrections): -54.12 eV per cell

=====

5.
Here is NaAgF6 after structural relaxation from OQMD via LeMat-Bulk. Energies are from PBE.

Geometry as extended XYZ:
```
8
Lattice="2.429 1.402 4.619 -2.429 1.402 4.619 0.000 -2.805 4.619" Properties=species:S:1:pos:R:3 pbc="T T T"
Na 0.000 0.000 0.000
Ag 0.000 0.000 6.928
F -1.555 -0.219 5.826
F -0.588 -1.456 8.029
F 0.967 -1.237 5.826
F -0.967 1.237 8.029
F 0.588 1.456 5.826
F 1.555 0.219 8.029
```

## Properties
volume: 11.80 Å³/atom
total DFT energy (no corrections): -24.84 eV per cell

=====

6.
Here is NaAg6TeO6F after structural relaxation from OQMD via LeMat-Bulk. Energies are from PBE.

Geometry as extended XYZ:
```
15
Lattice="4.539 2.620 3.204 -4.539 2.620 3.204 0.000 -5.241 3.204" Properties=species:S:1:pos:R:3 pbc="T T T"
Na 0.000 0.000 0.000
Ag -3.073 0.092 4.637
Ag -1.075 -1.848 6.259
Ag 1.457 -2.708 4.637
Ag -1.063 1.855 6.259
Ag 1.616 2.615 4.637
Ag 2.138 -0.007 6.259
Te 0.000 0.000 3.030
O -0.306 -1.553 1.848
O -1.192 1.041 1.848
O -1.317 -0.907 4.190
O 1.498 0.512 1.848
O -0.127 1.594 4.190
O 1.444 -0.687 4.190
F 0.000 0.000 7.495
```

## Properties
volume: 15.24 Å³/atom
total DFT energy (no corrections): -61.85 eV per cell

=====

7.
Here is NaAg2OsF6 after structural relaxation from OQMD via LeMat-Bulk. Energies are from PBE.

Geometry as extended XYZ:
```
20
Lattice="6.003 0.000 0.000 0.000 5.329 0.000 -5.949 0.000 7.824" Properties=species:S:1:pos:R:3 pbc="T T T"
Na 0.000 0.000 0.000
Na -2.975 2.665 3.912
Ag -2.957 0.383 5.945
Ag 0.017 2.281 2.033
Ag 0.036 3.048 5.792
Ag 3.011 4.946 1.880
Os 0.027 0.000 3.912
Os 3.001 2.665 0.000
F -3.586 3.066 5.958
F -0.612 4.928 2.046
F 1.223 3.561 0.316
F -1.752 4.433 4.229
F 1.777 1.143 0.526
F -1.198 1.522 4.438
F 1.251 3.808 3.386
F -1.724 4.186 7.298
F 1.805 0.896 3.596
F -1.169 1.768 7.508
F 0.665 0.401 5.779
F 3.640 2.264 1.867
```

## Properties
volume: 12.52 Å³/atom
total DFT energy (no corrections): -87.33 eV per cell

=====

8.
Here is NaTl2AgF6 after structural relaxation from OQMD via LeMat-Bulk. Energies are from PBE.

Geometry as extended XYZ:
```
10
Lattice="-2.982 2.982 4.256 2.982 -2.982 4.256 2.982 2.982 -4.256" Properties=species:S:1:pos:R:3 pbc="T T T"
Na 0.000 0.000 0.000
Tl 2.982 0.000 2.128
Tl 0.000 2.982 2.128
Ag 0.000 0.000 4.256
F 1.667 1.371 0.000
F 0.000 0.000 2.172
F 1.611 -1.315 4.256
F 1.371 4.297 0.000
F 0.000 0.000 6.340
F 1.315 1.611 4.256
```

## Properties
volume: 15.14 Å³/atom
ΔE to the lowest computed polymorph: 0.0931 eV per atom